Record 1
A relaxed SrPrCrN3 crystal. Source: Alexandria via LeMat-Bulk, functional PBE.

Results
The total magnetization comes out at 0.00 μB/cell. For the uncorrected formation energy, the calculation gives -0.78 eV per atom. The calculation puts the volume at 180.9 Å³ per cell. The value obtained for the calculated total energy is -7.62 eV per atom.

Cell lengths 6.9445, 6.9445, 7.3691 Å; angles 105.42, 105.42, 31.98 degrees
Fractional coordinates of all 12 atoms:
1 Sr 0.1415 0.1415 0.0740
2 Sr 0.8585 0.8585 0.9260
3 Pr 0.1515 0.1515 0.5731
4 Pr 0.8485 0.8485 0.4269
5 Cr 0.4967 0.4967 0.2806
6 Cr 0.5033 0.5033 0.7194
7 N 0.0033 0.0033 0.2788
8 N 0.3467 0.3467 0.6616
9 N 0.3567 0.3567 0.1844
10 N 0.6433 0.6433 0.8156
11 N 0.6533 0.6533 0.3384
12 N 0.9967 0.9967 0.7212


Record 2
A relaxed Sr2PrCrN4 crystal. Source: Alexandria via LeMat-Bulk, functional PBE.

Results
The total magnetization comes out at 2.02 μB/cell. For the uncorrected formation energy, the calculation gives -0.81 eV per atom. The calculation puts the volume at 291.5 Å³ per cell. The value obtained for the calculated total energy is -7.20 eV per atom.

Cell lengths 7.4871, 7.0958, 5.4861 Å; angles 90.00, 90.00, 90.00 degrees
Fractional coordinates of all 16 atoms:
1 Sr 0.2435 0.1588 0.0000
2 Sr 0.2565 0.8412 0.5000
3 Sr 0.7435 0.8412 0.5000
4 Sr 0.7565 0.1588 0.0000
5 Pr 0.0000 0.3752 0.5083
6 Pr 0.5000 0.6248 0.0083
7 Cr 0.0000 0.6689 0.0450
8 Cr 0.5000 0.3311 0.5450
9 N 0.0000 0.4186 0.9723
10 N 0.0000 0.6751 0.3666
11 N 0.2063 0.7880 0.9658
12 N 0.2937 0.2120 0.4658
13 N 0.5000 0.3249 0.8666
14 N 0.5000 0.5814 0.4723
15 N 0.7063 0.2120 0.4658
16 N 0.7937 0.7880 0.9658


Record 3
A relaxed Pr2TaCr2N6 crystal. Source: Alexandria via LeMat-Bulk, functional PBE.

Results
The total magnetization comes out at 0.00 μB/cell. For the uncorrected formation energy, the calculation gives -0.80 eV per atom. The calculation puts the volume at 153.3 Å³ per cell. The value obtained for the calculated total energy is -9.04 eV per atom.

Cell lengths 6.2450, 6.2450, 6.2450 Å; angles 55.27, 55.27, 55.27 degrees
Fractional coordinates of all 11 atoms:
1 Pr 0.2176 0.2176 0.2176
2 Pr 0.7824 0.7824 0.7824
3 Ta 0.0000 0.0000 0.0000
4 Cr 0.4347 0.4347 0.4347
5 Cr 0.5653 0.5653 0.5653
6 N 0.2408 0.7576 0.7576
7 N 0.2424 0.2424 0.7592
8 N 0.2424 0.7592 0.2424
9 N 0.7576 0.2408 0.7576
10 N 0.7576 0.7576 0.2408
11 N 0.7592 0.2424 0.2424


Record 4
A relaxed Pr2TaCrN5 crystal. Source: Alexandria via LeMat-Bulk, functional PBE.

Results
The total magnetization comes out at 3.20 μB/cell. For the uncorrected formation energy, the calculation gives -1.07 eV per atom. The calculation puts the volume at 243.6 Å³ per cell. The value obtained for the calculated total energy is -9.14 eV per atom.

Cell lengths 7.3346, 7.3346, 10.3134 Å; angles 90.00, 90.00, 153.96 degrees
Fractional coordinates of all 18 atoms:
1 Pr 0.1171 0.8829 0.5000
2 Pr 0.1319 0.8681 0.1308
3 Pr 0.8681 0.1319 0.6308
4 Pr 0.8829 0.1171 0.0000
5 Ta 0.2082 0.7918 0.8345
6 Ta 0.7918 0.2082 0.3345
7 Cr 0.4505 0.5495 0.2549
8 Cr 0.5495 0.4505 0.7549
9 N 0.0390 0.9610 0.8322
10 N 0.2963 0.7037 0.4652
11 N 0.3222 0.6778 0.1953
12 N 0.3416 0.6584 0.8162
13 N 0.4988 0.5012 0.5995
14 N 0.5012 0.4988 0.0995
15 N 0.6584 0.3416 0.3162
16 N 0.6778 0.3222 0.6953
17 N 0.7037 0.2963 0.9652
18 N 0.9610 0.0390 0.3322